No. 1
A relaxed structure of RbNaSnS2, computed with PBE.

## Properties
Uncorrected energy   -3.70 eV/atom
Formation energy (no corrections)   -0.79 eV per atom
Space group   C2/m

Structure (POSCAR):
```
RbNaSnS2
1.0
7.8205 -2.2359 0.0000
7.8205 2.2359 0.0000
-0.1837 0.0000 9.3974
Rb Na Sn S
2 2 2 4
direct
0.1598 0.1598 0.1795
0.8402 0.8402 0.8205
0.1986 0.1986 0.5683
0.8014 0.8014 0.4317
0.4380 0.4380 0.2764
0.5620 0.5620 0.7236
0.1476 0.1476 0.8326
0.3742 0.3742 0.5256
0.6258 0.6258 0.4744
0.8524 0.8524 0.1674
```

=====

No. 2
A relaxed structure of Rb2NaSnS4, computed with PBE.

## Properties
Uncorrected energy   -3.74 eV/atom
Formation energy (no corrections)   -0.77 eV per atom
Space group   I-42m
Fermi-level density of states   7.73 states/eV per cell

Structure (POSCAR):
```
Rb2NaSnS4
1.0
-4.0338 4.0338 3.7132
4.0338 -4.0338 3.7132
4.0338 4.0338 -3.7132
Rb Na Sn S
2 1 1 4
direct
0.0000 0.5000 0.5000
0.5000 0.0000 0.5000
0.0000 0.0000 0.0000
0.5000 0.5000 0.0000
0.1274 0.1274 0.6735
0.4539 0.4539 0.3265
0.5461 0.8726 0.0000
0.8726 0.5461 0.0000
```

=====

No. 3
A relaxed structure of RbNaSnS3, computed with PBE.

## Properties
Uncorrected energy   -3.90 eV/atom
Formation energy (no corrections)   -0.79 eV per atom
Space group   C2/m
Fermi-level density of states   0.00 states/eV per cell

Structure (POSCAR):
```
RbNaSnS3
1.0
4.2155 -4.6201 0.0000
4.2155 4.6201 0.0000
-1.6242 0.0000 9.9567
Rb Na Sn S
2 2 2 6
direct
0.2412 0.2412 0.0608
0.7588 0.7588 0.9392
0.3091 0.6909 0.5000
0.6909 0.3091 0.5000
0.0397 0.0397 0.6784
0.9603 0.9603 0.3216
0.1835 0.7418 0.2101
0.2131 0.2131 0.4996
0.2582 0.8165 0.7899
0.7418 0.1835 0.2101
0.7869 0.7869 0.5004
0.8165 0.2582 0.7899
```

=====

No. 4
A relaxed structure of RbNa2SrS, computed with PBE.

## Properties
Uncorrected energy   -2.39 eV/atom
Formation energy (no corrections)   -0.51 eV per atom
Space group   P4/mmm
Fermi-level density of states   3.02 states/eV per cell

Structure (POSCAR):
```
RbNa2SrS
1.0
6.0554 0.0000 0.0000
0.0000 6.0554 0.0000
0.0000 0.0000 5.7457
Rb Na Sr S
1 2 1 1
direct
0.0000 0.0000 0.0000
0.0000 0.5000 0.5000
0.5000 0.0000 0.5000
0.5000 0.5000 0.0000
0.5000 0.5000 0.5000
```

=====

No. 5
A relaxed structure of RbNaTa2S6, computed with PBE.

## Properties
Uncorrected energy   -6.05 eV/atom
Formation energy (no corrections)   -0.98 eV per atom
Space group   C2/c
Fermi-level density of states   0.00 states/eV per cell

Structure (POSCAR):
```
RbNaTa2S6
1.0
6.6904 -6.9544 0.0000
6.6904 6.9544 0.0000
-1.0574 0.0000 6.7789
Rb Na Ta S
2 2 4 12
direct
0.1043 0.8957 0.7500
0.8957 0.1043 0.2500
0.2852 0.7148 0.2500
0.7148 0.2852 0.7500
0.2189 0.3685 0.7259
0.3685 0.2189 0.2259
0.6315 0.7811 0.7741
0.7811 0.6315 0.2741
0.0233 0.2345 0.7110
0.1796 0.5751 0.8740
0.2345 0.0233 0.2110
0.2720 0.4098 0.4057
0.4098 0.2720 0.9057
0.4249 0.8204 0.6260
0.5751 0.1796 0.3740
0.5902 0.7280 0.0943
0.7280 0.5902 0.5943
0.7655 0.9767 0.7890
0.8204 0.4249 0.1260
0.9767 0.7655 0.2890
```

=====

No. 6
A relaxed structure of Rb2NaTcS4, computed with PBE.

## Properties
Uncorrected energy   -4.58 eV/atom
Formation energy (no corrections)   -0.81 eV per atom
Space group   I-4
Fermi-level density of states   0.31 states/eV per cell

Structure (POSCAR):
```
Rb2NaTcS4
1.0
-3.8668 3.8668 4.2644
3.8668 -3.8668 4.2644
3.8668 3.8668 -4.2644
Rb Na Tc S
2 1 1 4
direct
0.0000 0.0000 0.0000
0.7500 0.2500 0.5000
0.5000 0.5000 0.0000
0.2500 0.7500 0.5000
0.2540 0.0884 0.5518
0.2978 0.7460 0.8344
0.5366 0.7022 0.4482
0.9116 0.4634 0.1656
```